No. 1
Below is AgAsSe4 at its PBEsol-relaxed geometry, with properties calculated at the meta-GGA SCAN level.

abc: 5.5944 5.5944 5.5944
angles: 60.00 60.00 60.00
Last column: nearest neighbours and their distance in Å.
Fractional positions:
1 As 0.0000 0.0000 0.0000  12 Se 3.28, 4 Ag 3.43
2 Se 0.3751 0.3751 0.3751  6 Se 2.80
3 Se 0.3751 0.3751 0.8748  6 Se 2.80
4 Se 0.8748 0.3751 0.3751  6 Se 2.80
5 Se 0.3751 0.8748 0.3751  6 Se 2.80
6 Ag 0.7500 0.7500 0.7500  12 Se 3.28, 4 As 3.43

## Properties
Calculated total energy (eV per atom): -21.15
DOS at the Fermi energy (states/eV/cell): 4.14
E_form (uncorrected) (meV/atom): 828
SG: No. 216
Calculated density (g cm⁻³): 6.7

***

No. 2
Below is Li6Sb2S7 at its PBEsol-relaxed geometry, with properties calculated at the meta-GGA SCAN level.

abc: 6.4227 7.4690 11.9975
angles: 90.00 100.53 90.00
Last column: nearest neighbours and their distance in Å.
Fractional positions:
1 Li 0.8683 0.7179 0.6413  5 S 2.49-2.65
2 Li 0.8677 0.2800 0.6406  5 S 2.50-2.65
3 Li 0.3956 0.9979 0.6483  5 S 2.50-2.79
4 Li 0.6323 0.7800 0.8594  5 S 2.50-2.65
5 Li 0.6317 0.2179 0.8587  5 S 2.49-2.65
6 Li 0.1044 0.4979 0.8517  5 S 2.50-2.79
7 Li 0.8956 0.5021 0.1483  5 S 2.50-2.79
8 Li 0.3683 0.7821 0.1413  5 S 2.49-2.65
9 Li 0.3677 0.2200 0.1406  5 S 2.50-2.65
10 Li 0.6044 0.0021 0.3517  5 S 2.50-2.79
11 Li 0.1323 0.7200 0.3594  5 S 2.50-2.65
12 Li 0.1317 0.2821 0.3587  5 S 2.49-2.65
13 Sb 0.3807 0.4996 0.6272  6 S 2.48-2.63
14 Sb 0.1193 0.9996 0.8728  6 S 2.48-2.63
15 Sb 0.8807 0.0004 0.1272  6 S 2.48-2.63
16 Sb 0.6193 0.5004 0.3728  6 S 2.48-2.63
17 S 0.0000 0.5000 0.5000  4 Li 2.60-2.61, 2 Sb 2.63
18 S 0.4997 0.7450 0.5004  2 Sb 2.59, 4 Li 2.65-2.79
19 S 0.7209 0.4988 0.7632  1 Sb 2.48, 5 Li 2.49-2.51
20 S 0.7791 0.9988 0.7368  1 Sb 2.48, 5 Li 2.49-2.51
21 S 0.2497 0.2483 0.7492  4 Li 2.50-2.57, 2 Sb 2.61
22 S 0.2503 0.7483 0.7508  4 Li 2.50-2.57, 2 Sb 2.61
23 S 0.0003 0.2450 0.9996  2 Sb 2.59, 4 Li 2.65-2.79
24 S 0.9997 0.7550 0.0004  2 Sb 2.59, 4 Li 2.65-2.79
25 S 0.5000 0.0000 0.0000  4 Li 2.60-2.61, 2 Sb 2.63
26 S 0.7497 0.2517 0.2492  4 Li 2.50-2.57, 2 Sb 2.61
27 S 0.7503 0.7517 0.2508  4 Li 2.50-2.57, 2 Sb 2.61
28 S 0.2209 0.0012 0.2632  1 Sb 2.48, 5 Li 2.49-2.51
29 S 0.2791 0.5012 0.2368  1 Sb 2.48, 5 Li 2.49-2.51
30 S 0.5003 0.2550 0.4996  2 Sb 2.59, 4 Li 2.65-2.79

## Properties
Calculated total energy (eV per atom): -11.38
DOS at the Fermi energy (states/eV/cell): 1.93
E_form (uncorrected) (meV/atom): -962
SG: No. 14
Calculated density (g cm⁻³): 3.0

***

No. 3
Below is Sc2TcP at its PBEsol-relaxed geometry, with properties calculated at the meta-GGA SCAN level.

abc: 3.7949 3.7949 5.2158
angles: 111.33 111.33 90.00
Last column: nearest neighbours and their distance in Å.
Fractional positions:
1 P 0.2500 0.7500 0.5000  8 Sc 2.68-2.93, 4 Tc 2.93
2 Sc 0.0000 0.0000 0.0000  4 Tc 2.68, 4 Sc 2.93, 4 P 2.93
3 Sc 0.7500 0.2500 0.5000  4 P 2.68, 4 Tc 2.93, 4 Sc 2.93
4 Tc 0.5000 0.5000 0.0000  8 Sc 2.68-2.93, 4 P 2.93

## Properties
Calculated total energy (eV per atom): -18.96
DOS at the Fermi energy (states/eV/cell): 3.87
SG: No. 119
Calculated density (g cm⁻³): 5.6
Formation enthalpy at 0 K (kJ/mol of atoms): -46.15

***

No. 4
Below is BiW2F at its PBEsol-relaxed geometry, with properties calculated at the meta-GGA SCAN level.

abc: 4.5437 4.5437 4.5437
angles: 60.00 60.00 60.00
Last column: nearest neighbours and their distance in Å.
Fractional positions:
1 Bi 0.5000 0.5000 0.5000  8 W 2.78
2 W 0.2500 0.2500 0.2500  4 F 2.78, 4 Bi 2.78
3 W 0.7500 0.7500 0.7500  4 F 2.78, 4 Bi 2.78
4 F 0.0000 0.0000 0.0000  8 W 2.78

## Properties
Calculated total energy (eV per atom): -54.25
DOS at the Fermi energy (states/eV/cell): 3.87
E_form (uncorrected) (meV/atom): 1129
SG: No. 225
Calculated density (g cm⁻³): 14.9